(1)
AcZn3Cu | PBE | relaxed

Calculated values
* size of the total moment: 0.0 μB per cell
* VASP energy: -2.646 eV/atom
* energy above the lowest structure with this stoichiometry: 0 meV per atom

Unit cell a=4.362 b=4.362 c=10.740 alpha=90.00 beta=90.00 gamma=90.00
Space group I4mm (No. 107)
One atom of each set of equivalent atoms:
Ac  0.000  0.000  0.000 (multiplicity 2)
Zn  0.000  0.000  0.619 (multiplicity 2)
Zn  0.000  0.500  0.255 (multiplicity 4)
Cu  0.000  0.000  0.381 (multiplicity 2)

---

(2)
Ac3ZnCu2 | PBE | relaxed

Calculated values
* size of the total moment: 0.0 μB per cell
* VASP energy: -3.776 eV/atom

Unit cell a=3.848 b=3.848 c=11.490 alpha=90.00 beta=90.00 gamma=90.00
Space group P4/mmm (No. 123)
One atom of each set of equivalent atoms:
Ac  0.000  0.000  0.000 (multiplicity 1)
Ac  0.000  0.000  0.328 (multiplicity 2)
Zn  0.500  0.500  0.500 (multiplicity 1)
Cu  0.500  0.500  0.164 (multiplicity 2)

---

(3)
Ac5Zn5Cu2 | PBE | relaxed

Calculated values
* size of the total moment: 0.0 μB per cell
* VASP energy: -3.122 eV/atom

Unit cell a=4.395 b=8.719 c=9.256 alpha=86.60 beta=76.27 gamma=75.46
Space group P-1 (No. 2)
One atom of each set of equivalent atoms:
Ac  0.000  0.000  0.000 (multiplicity 1)
Ac  0.107  0.200  0.585 (multiplicity 2)
Ac  0.193  0.422  0.191 (multiplicity 2)
Zn  0.251  0.823  0.677 (multiplicity 2)
Zn  0.441  0.267  0.850 (multiplicity 2)
Zn  0.500  0.500  0.500 (multiplicity 1)
Cu  0.352  0.034  0.260 (multiplicity 2)

---

(4)
AcZn2Cu3 | PBE | relaxed

Calculated values
* size of the total moment: 0.0 μB per cell
* VASP energy: -3.339 eV/atom
* energy above the lowest structure with this stoichiometry: 35 meV per atom

Unit cell a=5.5076 b=5.5076 c=4.0727 alpha=90.00 beta=90.00 gamma=120.00
Space group P6/mmm (No. 191)
One atom of each set of equivalent atoms:
Ac  0.0000  0.0000  0.0000 (multiplicity 1)
Zn  0.3333  0.6667  0.0000 (multiplicity 2)
Cu  0.0000  0.5000  0.5000 (multiplicity 3)

---

(5)
Ac3Zn4Cu4 | PBE | relaxed

Calculated values
* size of the total moment: 0.0 μB per cell
* VASP energy: -3.294 eV/atom
* energy above the lowest structure with this stoichiometry: 19 meV per atom

Unit cell a=4.285 b=4.529 c=12.963 alpha=82.44 beta=80.57 gamma=89.83
Space group P-1 (No. 2)
One atom of each set of equivalent atoms:
Ac  0.000  0.000  0.000 (multiplicity 1)
Ac  0.154  0.637  0.695 (multiplicity 2)
Zn  0.295  0.845  0.408 (multiplicity 2)
Zn  0.447  0.458  0.104 (multiplicity 2)
Cu  0.252  0.314  0.496 (multiplicity 2)
Cu  0.399  0.918  0.202 (multiplicity 2)

---

(6)
AcZn2Cu | PBE | relaxed

Calculated values
* size of the total moment: 0.0 μB per cell
* VASP energy: -2.702 eV/atom
* energy above the lowest structure with this stoichiometry: 227 meV per atom

Unit cell a=7.051 b=7.051 c=7.051 alpha=90.00 beta=90.00 gamma=90.00
Space group Fm-3m (No. 225)
One atom of each set of equivalent atoms:
Ac  0.000  0.000  0.000 (multiplicity 4)
Zn  0.250  0.250  0.250 (multiplicity 8)
Cu  0.000  0.000  0.500 (multiplicity 4)

---

Number 1: energy of formation from the pure elements -241 meV per atom. Number 2: energy of formation from the pure elements -144 meV per atom. Number 3: energy of formation from the pure elements -196 meV per atom. Number 4: energy of formation from the pure elements -181 meV per atom. Number 5: energy of formation from the pure elements -221 meV per atom. Number 6: energy of formation from the pure elements -14 meV per atom.